Entry from Alexandria: a relaxed structure of NaCa3Pt (PBE-GGA).

Summary:
- energy (eV/atom) = -3.13
- crystal system = cubic
- ΔE_f (meV per atom) = -458

Cell lengths 5.6572, 5.6572, 5.6572 Å; angles 90.00, 90.00, 90.00 degrees
Fractional positions:
Ca (0.0000, 0.5000, 0.0000)
Ca (0.5000, 0.0000, 0.0000)
Ca (0.0000, 0.0000, 0.5000)
Na (0.5000, 0.5000, 0.5000)
Pt (0.0000, 0.0000, 0.0000)



Entry from Alexandria: a relaxed structure of AcTbPmHo3 (PBE-GGA).

Summary:
- energy (eV/atom) = -4.30
- crystal system = monoclinic
- ΔE_f (meV per atom) = 234

Cell lengths 5.6712, 10.2876, 7.4750 Å; angles 90.69, 90.00, 106.00 degrees
Fractional positions:
Tb (0.3469, 0.6939, 0.5433)
Tb (0.6531, 0.3061, 0.4567)
Ac (0.3584, 0.7167, 0.9739)
Ac (0.6416, 0.2833, 0.0261)
Ho (0.1663, 0.3326, 0.7173)
Ho (0.7801, 0.5603, 0.7530)
Ho (0.4767, 0.9535, 0.2901)
Ho (0.8337, 0.6674, 0.2827)
Ho (0.2199, 0.4397, 0.2470)
Ho (0.5233, 0.0465, 0.7099)
Pm (0.0519, 0.1038, 0.2899)
Pm (0.9481, 0.8962, 0.7101)



Entry from Alexandria: a relaxed structure of RbLiBiCl6 (PBE-GGA).

Summary:
- energy relative to the elements, uncorrected (eV/atom) = -1.246
- energy (eV/atom) = -3.23
- crystal system = trigonal

Cell lengths 6.8208, 6.8206, 7.3629 Å; angles 90.00, 90.00, 59.99 degrees
Last column: magnetic moment on the atom in μB.
Fractional positions:
Cl (0.6203, 0.0048, 0.2939)  0.05
Cl (0.0048, 0.3749, 0.2939)  0.05
Cl (0.6202, 0.3750, 0.7061)  0.05
Cl (0.0048, 0.6203, 0.7061)  0.05
Cl (0.3750, 0.6202, 0.2938)  0.05
Cl (0.3748, 0.0048, 0.7061)  0.05
Li (0.3333, 0.3334, 0.5000)  0.00
Rb (0.0000, 0.0000, 0.0000)  0.00
Bi (0.6667, 0.6666, 0.5000)  0.05



Entry from Alexandria: a relaxed structure of Cr2AgMo (PBE-GGA).

Summary:
- energy (eV/atom) = -7.83
- crystal system = tetragonal
- ΔE_f (meV per atom) = 400

Cell lengths 3.1246, 3.1246, 6.2957 Å; angles 90.00, 90.00, 90.00 degrees
Last column: magnetic moment on the atom in μB.
Fractional positions:
Cr (0.0000, 0.0000, 0.0278)  2.48
Cr (0.0000, 0.0000, 0.4722)  2.48
Ag (0.5000, 0.5000, 0.7500)  0.11
Mo (0.5000, 0.5000, 0.2500)  -0.95



Entry from Alexandria: a relaxed structure of ZnGaPd6 (PBE-GGA).

Summary:
- energy (eV/atom) = -4.82
- crystal system = orthorhombic
- ΔE_f (meV per atom) = -391

Cell lengths 4.2183, 5.3577, 5.3577 Å; angles 88.75, 90.00, 90.00 degrees
Fractional positions:
Zn (0.5000, 0.0000, 0.0000)
Pd (0.0000, 0.8059, 0.8059)
Pd (0.0000, 0.6925, 0.3075)
Pd (0.0000, 0.1941, 0.1941)
Pd (0.5000, 0.0000, 0.5000)
Pd (0.0000, 0.3075, 0.6925)
Pd (0.5000, 0.5000, 0.0000)
Ga (0.5000, 0.5000, 0.5000)



Entry from Alexandria: a relaxed structure of Al2CuSb (PBE-GGA).

Summary:
- energy relative to the elements, uncorrected (eV/atom) = 0.140
- energy (eV/atom) = -3.79
- crystal system = orthorhombic

Cell lengths 3.1054, 3.8438, 6.2261 Å; angles 90.00, 90.00, 90.00 degrees
Fractional positions:
Cu (0.0000, 0.0000, 0.4269)
Al (0.5000, 0.5000, 0.2829)
Al (0.0000, 0.0000, 0.0290)
Sb (0.5000, 0.5000, 0.7613)



Entry from Alexandria: a relaxed structure of NaScNbPd2 (PBE-GGA).

Summary:
- energy (eV/atom) = -5.08
- crystal system = tetragonal
- ΔE_f (meV per atom) = 541

Cell lengths 4.9436, 5.0650, 4.9436 Å; angles 90.00, 90.00, 90.00 degrees
Fractional positions:
Pd (0.5000, 0.0000, 0.0000)
Pd (0.0000, 0.0000, 0.5000)
Sc (0.0000, 0.5000, 0.0000)
Nb (0.0000, 0.0000, 0.0000)
Na (0.5000, 0.5000, 0.5000)



Entry from Alexandria: a relaxed structure of CaSbW2Au (PBE-GGA).

Summary:
- energy relative to the elements, uncorrected (eV/atom) = 0.163
- energy (eV/atom) = -6.90
- crystal system = monoclinic

Cell lengths 8.1073, 3.4303, 8.9761 Å; angles 90.00, 118.96, 90.00 degrees
Fractional positions:
Au (0.9392, 0.0000, 0.8091)
Au (0.9392, 0.5000, 0.3091)
Sb (0.4554, 0.5000, 0.9725)
Sb (0.4554, 0.0000, 0.4725)
Ca (0.1771, 0.0000, 0.6290)
Ca (0.1771, 0.5000, 0.1290)
W (0.6466, 0.0000, 0.2808)
W (0.7599, 0.5000, 0.5240)
W (0.6466, 0.5000, 0.7808)
W (0.7599, 0.0000, 0.0240)



Entry from Alexandria: a relaxed structure of RbZr2Rh (PBE-GGA).

Summary:
- energy (eV/atom) = -5.45
- crystal system = tetragonal
- ΔE_f (meV per atom) = 905

Cell lengths 5.9292, 5.9292, 9.4295 Å; angles 71.68, 71.68, 90.00 degrees
Fractional positions:
Rb (0.2500, 0.7500, 0.5000)
Rb (0.5000, 0.5000, 0.0000)
Zr (0.3750, 0.1246, 0.7500)
Zr (0.8754, 0.1250, 0.2500)
Zr (0.8746, 0.6250, 0.2500)
Zr (0.8750, 0.1254, 0.7500)
Rh (0.0000, 0.0000, 0.0000)
Rh (0.7500, 0.2500, 0.5000)



Entry from Alexandria: a relaxed structure of La2SmDy5Tm (PBE-GGA).

Summary:
- energy (eV/atom) = -4.41
- crystal system = tetragonal
- ΔE_f (meV per atom) = 260

Cell lengths 8.6448, 8.6448, 10.0269 Å; angles 115.54, 115.54, 90.00 degrees
Fractional positions:
Sm (0.7500, 0.7500, 0.5000)
Sm (0.2500, 0.2500, 0.5000)
Dy (0.1410, 0.0748, 0.7158)
Dy (0.6410, 0.1410, 0.7158)
Dy (0.4252, 0.3590, 0.2842)
Dy (0.8590, 0.9252, 0.2842)
Dy (0.0000, 0.0000, 0.0000)
Dy (0.0748, 0.5748, 0.7158)
Dy (0.5000, 0.5000, 0.0000)
Dy (0.5748, 0.6410, 0.7158)
Dy (0.3590, 0.8590, 0.2842)
Dy (0.9252, 0.4252, 0.2842)
La (0.1181, 0.3819, 0.0000)
La (0.3819, 0.8819, 0.0000)
La (0.6181, 0.1181, 0.0000)
La (0.8819, 0.6181, 0.0000)
Tm (0.7500, 0.2500, 0.5000)
Tm (0.2500, 0.7500, 0.5000)



Entry from Alexandria: a relaxed structure of SnO (PBE-GGA).

Summary:
- energy relative to the elements, uncorrected (eV/atom) = -1.195
- energy (eV/atom) = -5.68
- crystal system = cubic

Cell lengths 5.3255, 5.3306, 5.3301 Å; angles 90.00, 90.00, 90.00 degrees
Fractional positions:
Sn (0.7411, 0.7408, 0.7591)
Sn (0.7589, 0.2592, 0.2591)
Sn (0.2589, 0.2408, 0.7409)
Sn (0.2411, 0.7592, 0.2409)
O (0.8675, 0.6323, 0.1324)
O (0.6325, 0.3677, 0.6324)
O (0.1325, 0.1323, 0.3676)
O (0.3675, 0.8677, 0.8676)



Entry from Alexandria: a relaxed structure of Hf2BeHIr (PBE-GGA).

Summary:
- energy (eV/atom) = -7.56
- crystal system = tetragonal

Cell lengths 4.3908, 4.3908, 3.5289 Å; angles 90.00, 90.00, 90.00 degrees
Fractional positions:
Be (0.0000, 0.0000, 0.5000)
Hf (0.5000, 0.0000, 0.0000)
Hf (0.0000, 0.5000, 0.0000)
H (0.0000, 0.0000, 0.0000)
Ir (0.5000, 0.5000, 0.5000)



Entry from Alexandria: a relaxed structure of TmPtBr (PBE-GGA).

Summary:
- energy relative to the elements, uncorrected (eV/atom) = -1.317
- energy (eV/atom) = -5.38
- crystal system = monoclinic

Cell lengths 4.0044, 7.7236, 11.5960 Å; angles 94.42, 99.94, 90.00 degrees
Fractional positions:
Br (0.9059, 0.6609, 0.8118)
Br (0.4247, 0.1613, 0.8493)
Br (0.0941, 0.3391, 0.1882)
Br (0.5753, 0.8387, 0.1507)
Tm (0.6616, 0.5980, 0.3232)
Tm (0.3384, 0.4020, 0.6768)
Tm (0.3346, 0.8877, 0.6691)
Tm (0.6654, 0.1123, 0.3309)
Pt (0.7495, 0.8738, 0.4990)
Pt (0.2505, 0.1262, 0.5010)
Pt (0.2455, 0.6226, 0.4910)
Pt (0.7545, 0.3774, 0.5090)



Entry from Alexandria: a relaxed structure of NaLaGa2Au2 (PBE-GGA).

Summary:
- energy (eV/atom) = -3.69
- crystal system = trigonal
- ΔE_f (meV per atom) = -547

Cell lengths 4.6235, 4.6235, 7.0535 Å; angles 90.00, 90.00, 120.00 degrees
Fractional positions:
Au (0.6667, 0.3333, 0.2750)
Au (0.3333, 0.6667, 0.7250)
Ga (0.6667, 0.3333, 0.7117)
Ga (0.3333, 0.6667, 0.2883)
Na (0.0000, 0.0000, 0.5000)
La (0.0000, 0.0000, 0.0000)



Entry from Alexandria: a relaxed structure of YHo3As4 (PBE-GGA).

Summary:
- energy (eV/atom) = -6.39
- crystal system = orthorhombic
- ΔE_f (meV per atom) = -1536

Cell lengths 4.1072, 7.1105, 7.1105 Å; angles 109.47, 90.00, 90.00 degrees
Fractional positions:
As (0.0000, 0.7487, 0.7487)
As (0.5000, 0.7494, 0.2506)
As (0.5000, 0.2506, 0.7494)
As (0.0000, 0.2513, 0.2513)
Ho (0.0000, 0.0000, 0.5000)
Ho (0.0000, 0.5000, 0.0000)
Ho (0.5000, 0.5000, 0.5000)
Y (0.5000, 0.0000, 0.0000)



Entry from Alexandria: a relaxed structure of KSrCa2Cd (PBE-GGA).

Summary:
- energy (eV/atom) = -1.00
- crystal system = tetragonal
- ΔE_f (meV per atom) = 543

Cell lengths 6.9682, 6.1979, 6.9682 Å; angles 90.00, 90.00, 90.00 degrees
Fractional positions:
Sr (0.0000, 0.0000, 0.0000)
Ca (0.5000, 0.0000, 0.0000)
Ca (0.0000, 0.0000, 0.5000)
K (0.5000, 0.5000, 0.5000)
Cd (0.0000, 0.5000, 0.0000)



Entry from Alexandria: a relaxed structure of TbLuBi (PBE-GGA).

Summary:
- energy (eV/atom) = -4.77
- crystal system = tetragonal
- ΔE_f (meV per atom) = -430

Cell lengths 4.0081, 4.0081, 6.1086 Å; angles 109.15, 109.15, 90.00 degrees
Last column: magnetic moment on the atom in μB.
Fractional positions:
Lu (0.9607, 0.9607, 0.9213)  0.31
Bi (0.6136, 0.6136, 0.2272)  -0.01
Tb (0.2757, 0.2757, 0.5514)  0.36



Entry from Alexandria: a relaxed structure of Ce2SiGeIr6 (PBE-GGA).

Summary:
- energy relative to the elements, uncorrected (eV/atom) = -0.436
- energy (eV/atom) = -7.94
- crystal system = trigonal

Cell lengths 5.5480, 8.0061, 8.0074 Å; angles 40.54, 69.73, 90.00 degrees
Fractional positions:
Ge (0.5000, 0.5000, 0.0000)
Ce (0.2085, 0.7917, 0.5830)
Ce (0.7915, 0.2083, 0.4170)
Ir (0.2623, 0.2485, 0.9858)
Ir (0.2481, 0.2614, 0.5039)
Ir (0.7519, 0.2485, 0.9858)
Ir (0.7377, 0.7515, 0.0142)
Ir (0.7519, 0.7386, 0.4961)
Ir (0.2481, 0.7515, 0.0142)
Si (0.0000, 0.0000, 0.0000)



Entry from Alexandria: a relaxed structure of ErTmTiAl (PBE-GGA).

Summary:
- energy (eV/atom) = -5.23
- crystal system = cubic
- ΔE_f (meV per atom) = -62

Cell lengths 5.0906, 5.0906, 5.0906 Å; angles 60.00, 60.00, 60.00 degrees
Last column: magnetic moment on the atom in μB.
Fractional positions:
Tm (0.5000, 0.5000, 0.5000)  0.34
Ti (0.2500, 0.2500, 0.2500)  1.55
Al (0.7500, 0.7500, 0.7500)  -0.02
Er (0.0000, 0.0000, 0.0000)  0.34



Entry from Alexandria: a relaxed structure of Ba2CaHg (PBE-GGA).

Summary:
- energy (eV/atom) = -1.68
- crystal system = trigonal
- ΔE_f (meV per atom) = -138

Cell lengths 12.1554, 12.1554, 12.1554 Å; angles 20.33, 20.33, 20.33 degrees
Fractional positions:
Ba (0.5136, 0.5136, 0.5136)
Ba (0.9864, 0.9864, 0.9864)
Hg (0.2500, 0.2500, 0.2500)
Ca (0.7500, 0.7500, 0.7500)